[1]
First-principles (PBE) data for crystalline CuSiTe2 at its relaxed geometry, as listed in Alexandria.

Output
Total energy in eV per atom: -3.496
M_tot in Bohr magnetons per cell: 0.00
Space group: Pmmm
ρ in g cm⁻³: 5.5

a b c (Å): 3.829 7.210 3.812
angles (deg): 90.00 90.00 90.00
Fractional positions:
Si: 0.000 0.500 0.500
Te: 0.500 0.500 0.000
Te: 0.000 0.000 0.000
Cu: 0.500 0.000 0.500

[2]
First-principles (PBE) data for crystalline AcLa8Sm3 at its relaxed geometry, as listed in Alexandria.

Output
Total energy in eV per atom: -4.520
M_tot in Bohr magnetons per cell: 0.00
Space group: Immm
DFT formation energy in eV/atom: 0.287
ρ in g cm⁻³: 6.3

a b c (Å): 8.990 8.990 8.990
angles (deg): 97.32 135.69 99.03
Fractional positions:
La: 0.498 0.719 0.779
La: 0.176 0.923 0.746
La: 0.824 0.570 0.746
La: 0.823 0.077 0.254
La: 0.177 0.430 0.254
La: 0.940 0.719 0.221
La: 0.502 0.281 0.221
La: 0.060 0.281 0.779
Sm: 0.500 0.725 0.225
Sm: 0.500 0.275 0.775
Sm: 0.000 0.500 0.500
Ac: 0.000 0.000 0.000

[3]
First-principles (PBE) data for crystalline Er5As4S at its relaxed geometry, as listed in Alexandria.

Output
Total energy in eV per atom: -6.197
M_tot in Bohr magnetons per cell: 0.00
Space group: I4/m
ρ in g cm⁻³: 8.3

a b c (Å): 5.720 7.002 7.002
angles (deg): 80.39 65.89 65.89
Fractional positions:
Er: 0.101 0.600 0.199
Er: 0.301 0.801 0.600
Er: 0.501 0.000 0.000
Er: 0.901 0.400 0.801
Er: 0.701 0.199 0.400
S: 0.001 0.000 0.000
As: 0.800 0.800 0.602
As: 0.600 0.602 0.200
As: 0.402 0.398 0.800
As: 0.202 0.200 0.398

[4]
First-principles (PBE) data for crystalline Hg2Pd3Au4 at its relaxed geometry, as listed in Alexandria.

Output
Total energy in eV per atom: -3.305
M_tot in Bohr magnetons per cell: 0.00
Space group: C2/m
DFT formation energy in eV/atom: -0.050
Energy relative to the lowest polymorph listed for this composition in meV/atom: 0.0
ρ in g cm⁻³: 15.2

a b c (Å): 2.983 6.859 8.263
angles (deg): 97.87 100.40 90.00
Fractional positions:
Au: 0.547 0.688 0.094
Au: 0.280 0.333 0.559
Au: 0.720 0.667 0.441
Au: 0.453 0.312 0.906
Pd: 0.000 0.000 0.000
Pd: 0.108 0.385 0.216
Pd: 0.892 0.615 0.784
Hg: 0.655 0.060 0.311
Hg: 0.345 0.940 0.689

[5]
First-principles (PBE) data for crystalline Sm2OsAuC at its relaxed geometry, as listed in Alexandria.

Output
Total energy in eV per atom: -7.101
M_tot in Bohr magnetons per cell: 0.00
Space group: P4/mmm
DFT formation energy in eV/atom: -0.467
ρ in g cm⁻³: 11.3

a b c (Å): 3.893 5.147 5.147
angles (deg): 90.00 90.00 90.00
Fractional positions:
Os: 0.500 0.000 0.000
C: 0.000 0.000 0.000
Sm: 0.000 0.500 0.000
Sm: 0.000 0.000 0.500
Au: 0.500 0.500 0.500

[6]
First-principles (PBE) data for crystalline Be2ReTe at its relaxed geometry, as listed in Alexandria.

Output
Total energy in eV per atom: -5.155
M_tot in Bohr magnetons per cell: 0.00
Space group: Pmmm
ρ in g cm⁻³: 9.9

a b c (Å): 3.525 4.638 3.415
angles (deg): 90.00 90.00 90.00
Fractional positions:
Be: 0.000 0.000 0.000
Be: 0.500 0.500 0.000
Re: 0.500 0.000 0.500
Te: 0.000 0.500 0.500

[7]
First-principles (PBE) data for crystalline CaMgScTl at its relaxed geometry, as listed in Alexandria.

Output
Total energy in eV per atom: -3.266
M_tot in Bohr magnetons per cell: 0.00
Space group: F-43m
DFT formation energy in eV/atom: -0.192
ρ in g cm⁻³: 5.1

a b c (Å): 5.262 5.262 5.262
angles (deg): 60.00 60.00 60.00
Fractional positions:
Mg: 0.750 0.750 0.750
Ca: 0.500 0.500 0.500
Sc: 0.000 0.000 0.000
Tl: 0.250 0.250 0.250

[8]
First-principles (PBE) data for crystalline TmZn2Ag8 at its relaxed geometry, as listed in Alexandria.

Output
Total energy in eV per atom: -2.553
M_tot in Bohr magnetons per cell: 0.00
Space group: C2/m
DFT formation energy in eV/atom: 0.159
Energy relative to the lowest polymorph listed for this composition in meV/atom: 252.8
ρ in g cm⁻³: 8.2

a b c (Å): 4.819 7.142 7.142
angles (deg): 81.15 78.95 78.95
Fractional positions:
Zn: 0.555 0.820 0.820
Zn: 0.445 0.180 0.180
Ag: 0.896 0.276 0.276
Ag: 0.265 0.866 0.352
Ag: 0.735 0.648 0.134
Ag: 0.265 0.352 0.866
Ag: 0.735 0.134 0.648
Ag: 0.104 0.724 0.724
Ag: 0.711 0.565 0.565
Ag: 0.289 0.435 0.435
Tm: 0.000 0.000 0.000

Q: The highest total energy belongs to which entry?
A: TmZn2Ag8